! PBE Ba2Au, optimized geometry; values from VASP
! - energy relative to the elements (meV/atom) = -504
! - magnetic moment (μB/cell) = 0.00
! - crystal system = orthorhombic
! - DFT total energy (eV per formula unit) = -8.636
&SYSTEM
  ibrav = 0, nat = 6, ntyp = 2
/
ATOMIC_SPECIES
Au 196.97 Au.upf
Ba 137.33 Ba.upf
CELL_PARAMETERS angstrom
7.855 0.011 -0.008
6.637 4.201 -0.008
0.007 0.002 8.036
ATOMIC_POSITIONS angstrom
Au 14.128 4.106 0.591
Au 10.835 3.149 4.612
Ba 5.024 1.460 2.359
Ba 5.451 1.584 6.376
Ba 1.262 0.367 3.725
Ba 9.215 2.678 7.735

---

! PBE Eu3Re5N12, optimized geometry; values from VASP
! - magnetic moment (μB/cell) = 75.89
! - crystal system = cubic
! - DFT total energy (eV per formula unit) = -201.385
! - formation energy without anion corrections (meV per atom) = -421
&SYSTEM
  ibrav = 0, nat = 80, ntyp = 3
/
ATOMIC_SPECIES
Eu 151.96 Eu.upf
Re 186.21 Re.upf
N 14.01 N.upf
CELL_PARAMETERS angstrom
11.245 0.000 0.000
-3.748 10.602 0.000
-3.748 -5.301 9.182
ATOMIC_POSITIONS angstrom
Eu 6.560 3.313 1.148
Eu 6.560 7.289 1.148
Eu -0.937 4.638 5.738
Eu 0.937 -0.663 3.443
Eu 8.434 0.000 2.295
Eu 0.937 5.301 2.295
Eu 2.811 0.000 6.886
Eu -4.685 5.301 6.886
Eu 2.811 5.964 5.738
Eu 4.685 0.663 3.443
Eu -2.811 -1.988 8.034
Eu -2.811 1.988 8.034
Re -0.937 2.650 2.295
Re -1.874 5.301 0.000
Re 0.000 0.000 0.000
Re 2.811 1.988 1.148
Re 3.748 -2.650 4.591
Re 3.748 5.301 0.000
Re -2.811 5.964 3.443
Re 4.685 -3.313 8.034
Re 4.685 4.638 3.443
Re 0.937 -2.650 6.886
Re 2.811 7.951 2.295
Re 1.874 2.650 4.591
Re 5.623 0.000 0.000
Re -1.874 -2.650 4.591
Re -0.937 0.663 5.738
Re -0.937 8.614 1.148
Re -3.748 2.650 4.591
Re 6.560 -0.663 5.738
Re 0.937 3.313 8.034
Re 4.685 2.650 6.886
N 7.296 1.152 0.046
N 0.201 3.266 3.616
N 8.560 2.466 2.869
N 4.560 1.399 1.021
N 1.346 3.671 6.266
N 8.232 5.459 1.676
N -1.063 6.368 3.890
N -2.685 9.203 1.021
N 0.528 6.931 6.266
N 4.887 5.143 1.676
N 5.823 3.186 3.570
N 5.823 9.450 0.046
N -3.220 4.612 4.637
N 2.610 3.771 0.701
N -3.949 7.416 3.570
N 2.075 -2.035 5.565
N -0.528 0.941 1.722
N 2.610 6.673 0.974
N 4.560 8.136 2.869
N -0.736 3.929 0.974
N -2.402 6.242 7.460
N 2.937 4.234 3.890
N 5.094 5.990 4.637
N 4.484 -1.530 8.480
N 0.811 1.067 5.292
N -1.346 -0.689 4.545
N -0.736 6.831 0.701
N -0.811 -2.835 6.313
N 6.151 -0.941 1.722
N 4.484 1.372 8.207
N 1.138 -1.372 8.207
N 1.673 7.335 3.616
N 4.277 4.360 7.460
N 7.698 -2.115 5.611
N 6.968 0.689 4.545
N -2.075 -4.149 9.135
N 1.138 1.530 8.480
N 3.220 -1.630 2.915
N -1.138 0.158 7.506
N -2.075 2.115 5.611
N 6.434 -3.902 8.161
N 4.811 -1.067 5.292
N -0.811 3.902 8.161
N -4.484 -0.158 7.506
N 2.402 1.630 2.915
N -4.811 2.835 6.313
N 3.547 2.035 5.565
N -3.547 4.149 9.135

---

! PBE HfSc5In3, optimized geometry; values from VASP
! - energy relative to the elements (meV/atom) = -330
! - magnetic moment (μB/cell) = 1.90
! - crystal system = hexagonal
! - DFT total energy (eV per formula unit) = -52.792
&SYSTEM
  ibrav = 0, nat = 18, ntyp = 3
/
ATOMIC_SPECIES
Hf 178.49 Hf.upf
Sc 44.96 Sc.upf
In 114.82 In.upf
CELL_PARAMETERS angstrom
4.365 -7.561 0.000
4.365 7.561 0.000
0.000 0.000 6.216
ATOMIC_POSITIONS angstrom
Hf 0.000 0.000 0.000
Hf 0.000 0.000 3.108
Sc 4.365 2.520 0.000
Sc 4.365 -2.520 3.108
Sc 4.365 -2.520 0.000
Sc 4.365 2.520 3.108
Sc 2.946 5.103 4.662
Sc 2.946 -5.103 4.662
Sc 2.838 0.000 4.662
Sc 1.419 2.458 1.554
Sc 1.419 -2.458 1.554
Sc 5.892 0.000 1.554
In 1.481 2.566 4.662
In 1.481 -2.566 4.662
In 5.767 0.000 4.662
In 2.884 4.995 1.554
In 2.884 -4.995 1.554
In 2.963 0.000 1.554

---

! PBE MoAsW, optimized geometry; values from VASP
! - energy relative to the elements (meV/atom) = 223
! - magnetic moment (μB/cell) = 0.00
! - crystal system = tetragonal
! - DFT total energy (eV per formula unit) = -27.765
! - offset from the most stable computed form (meV per atom) = 2
&SYSTEM
  ibrav = 0, nat = 3, ntyp = 3
/
ATOMIC_SPECIES
Mo 95.94 Mo.upf
As 74.92 As.upf
W 183.84 W.upf
CELL_PARAMETERS angstrom
5.213 -0.006 0.000
3.327 4.013 0.000
-4.270 -2.004 2.220
ATOMIC_POSITIONS angstrom
Mo 2.902 1.362 0.000
As 8.539 4.007 0.000
W 5.638 2.646 0.000

---

! PBE Sr2ZnCdNi, optimized geometry; values from VASP
! - energy relative to the elements (meV/atom) = -90
! - magnetic moment (μB/cell) = 0.00
! - crystal system = tetragonal
! - DFT total energy (eV per formula unit) = -11.785
&SYSTEM
  ibrav = 0, nat = 5, ntyp = 4
/
ATOMIC_SPECIES
Sr 87.62 Sr.upf
Zn 65.41 Zn.upf
Ni 58.69 Ni.upf
Cd 112.41 Cd.upf
CELL_PARAMETERS angstrom
5.693 0.000 0.000
0.000 5.693 0.000
0.000 0.000 4.678
ATOMIC_POSITIONS angstrom
Sr 0.000 2.846 0.000
Sr 2.846 0.000 0.000
Zn 0.000 0.000 2.339
Ni 0.000 0.000 0.000
Cd 2.846 2.846 2.339

---

! PBE CrMoPb, optimized geometry; values from VASP
! - energy relative to the elements (meV/atom) = 613
! - magnetic moment (μB/cell) = 0.55
! - crystal system = tetragonal
! - DFT total energy (eV per formula unit) = -22.324
! - offset from the most stable computed form (meV per atom) = 0
&SYSTEM
  ibrav = 0, nat = 3, ntyp = 3
/
ATOMIC_SPECIES
Cr 52.00 Cr.upf
Mo 95.94 Mo.upf
Pb 207.20 Pb.upf
CELL_PARAMETERS angstrom
-1.750 -3.476 -4.337
2.672 -3.196 -4.074
-0.433 1.599 5.587
ATOMIC_POSITIONS angstrom
Cr 0.901 -6.520 -8.220
Mo 0.333 -2.409 -3.037
Pb 0.610 -4.415 -5.566